Record 1
A plane-wave DFT calculation with PBE was carried out for a geometry-optimized Pr6Te3As2Rh structure.

VASP energy = -5.91 eV per atom
volume = 30.4 A^3/atom
ΔE_f (raw) = -1349 meV per atom

Lattice parameters (Å, degrees): 9.911 9.911 8.975 104.38 104.38 25.34
Fractional coordinates of all 12 atoms:
Pr  0.005  0.005  0.228
Pr  0.327  0.327  0.431
Pr  0.344  0.344  0.904
Pr  0.656  0.656  0.096
Pr  0.673  0.673  0.569
Pr  0.995  0.995  0.772
Te  0.170  0.170  0.834
Te  0.500  0.500  0.500
Te  0.830  0.830  0.166
As  0.166  0.166  0.335
As  0.834  0.834  0.665
Rh  0.500  0.500  0.000

Record 2
A plane-wave DFT calculation with PBE was carried out for a geometry-optimized Pr8Te4As3Rh structure.

VASP energy = -5.89 eV per atom
volume = 30.5 A^3/atom
ΔE_f (raw) = -1388 meV per atom

Lattice parameters (Å, degrees): 8.925 8.925 8.925 58.75 58.75 58.75
Fractional coordinates of all 16 atoms:
Pr  0.241  0.241  0.241
Pr  0.247  0.736  0.736
Pr  0.264  0.264  0.753
Pr  0.264  0.753  0.264
Pr  0.736  0.247  0.736
Pr  0.736  0.736  0.247
Pr  0.753  0.264  0.264
Pr  0.759  0.759  0.759
Te  0.000  0.000  0.000
Te  0.000  0.500  0.500
Te  0.500  0.000  0.500
Te  0.500  0.500  0.000
As  0.000  0.000  0.500
As  0.000  0.500  0.000
As  0.500  0.000  0.000
Rh  0.500  0.500  0.500

Record 3
A plane-wave DFT calculation with PBE was carried out for a geometry-optimized Pr4Te2AsRh structure.

VASP energy = -5.91 eV per atom
volume = 30.4 A^3/atom
ΔE_f (raw) = -1239 meV per atom

Lattice parameters (Å, degrees): 7.608 4.320 7.802 90.00 108.43 90.00
Fractional coordinates of all 8 atoms:
Pr  0.231  0.000  0.214
Pr  0.253  0.500  0.781
Pr  0.747  0.500  0.219
Pr  0.769  0.000  0.786
Te  0.000  0.000  0.500
Te  0.500  0.500  0.500
As  0.500  0.000  0.000
Rh  0.000  0.500  0.000

Record 4
A plane-wave DFT calculation with PBE was carried out for a geometry-optimized Pr2TeAsRh6 structure.

VASP energy = -6.70 eV per atom
volume = 20.2 A^3/atom
ΔE_f (raw) = -557 meV per atom

Lattice parameters (Å, degrees): 5.543 8.656 8.418 90.00 90.00 90.00
Fractional coordinates of all 20 atoms:
Pr  0.250  0.009  0.223
Pr  0.250  0.491  0.223
Pr  0.750  0.509  0.777
Pr  0.750  0.991  0.777
Te  0.250  0.250  0.763
Te  0.750  0.750  0.237
As  0.250  0.750  0.750
As  0.750  0.250  0.250
Rh  0.005  0.250  0.488
Rh  0.007  0.750  0.987
Rh  0.250  0.501  0.593
Rh  0.250  0.999  0.593
Rh  0.493  0.750  0.987
Rh  0.495  0.250  0.488
Rh  0.505  0.750  0.512
Rh  0.507  0.250  0.013
Rh  0.750  0.001  0.407
Rh  0.750  0.499  0.407
Rh  0.993  0.250  0.013
Rh  0.995  0.750  0.512

Record 5
A plane-wave DFT calculation with PBE was carried out for a geometry-optimized Pr2ThAs3Rh12 structure.

formation enthalpy at 0 K = -307 meV per atom
VASP energy = -6.93 eV per atom
volume = 17.8 A^3/atom

Lattice parameters (Å, degrees): 6.881 6.881 6.881 84.16 84.16 84.16
Fractional coordinates of all 18 atoms:
Pr  0.143  0.143  0.143
Pr  0.857  0.857  0.857
Th  0.500  0.500  0.500
As  0.000  0.500  0.500
As  0.500  0.000  0.500
As  0.500  0.500  0.000
Rh  0.123  0.123  0.599
Rh  0.123  0.599  0.123
Rh  0.179  0.686  0.686
Rh  0.314  0.314  0.821
Rh  0.314  0.821  0.314
Rh  0.401  0.877  0.877
Rh  0.599  0.123  0.123
Rh  0.686  0.179  0.686
Rh  0.686  0.686  0.179
Rh  0.821  0.314  0.314
Rh  0.877  0.401  0.877
Rh  0.877  0.877  0.401

Record 6
A plane-wave DFT calculation with PBE was carried out for a geometry-optimized PrThAs2Rh5 structure.

formation enthalpy at 0 K = -656 meV per atom
VASP energy = -7.13 eV per atom
volume = 21.3 A^3/atom

Lattice parameters (Å, degrees): 4.108 4.108 11.340 90.00 90.00 90.00
Fractional coordinates of all 9 atoms:
Pr  0.000  0.000  0.000
Th  0.000  0.000  0.500
As  0.500  0.500  0.210
As  0.500  0.500  0.790
Rh  0.000  0.500  0.319
Rh  0.000  0.500  0.681
Rh  0.500  0.000  0.319
Rh  0.500  0.000  0.681
Rh  0.500  0.500  0.000

Record 7
A plane-wave DFT calculation with PBE was carried out for a geometry-optimized Pr2ThAs3Rh4 structure.

formation enthalpy at 0 K = -940 meV per atom
VASP energy = -6.97 eV per atom
volume = 20.5 A^3/atom

Lattice parameters (Å, degrees): 4.251 4.251 11.365 90.00 90.00 90.00
Fractional coordinates of all 10 atoms:
Pr  0.000  0.500  0.214
Pr  0.500  0.000  0.786
Th  0.000  0.000  0.500
As  0.000  0.500  0.871
As  0.500  0.000  0.129
As  0.500  0.500  0.500
Rh  0.000  0.000  0.000
Rh  0.000  0.500  0.654
Rh  0.500  0.000  0.346
Rh  0.500  0.500  0.000

Record 8
A plane-wave DFT calculation with PBE was carried out for a geometry-optimized Pr2TmAs3Rh12 structure.

formation enthalpy at 0 K = -275 meV per atom
VASP energy = -6.73 eV per atom
volume = 17.5 A^3/atom

Lattice parameters (Å, degrees): 6.844 6.844 6.844 84.19 84.19 84.19
Fractional coordinates of all 18 atoms:
Pr  0.143  0.143  0.143
Pr  0.857  0.857  0.857
Tm  0.500  0.500  0.500
As  0.000  0.500  0.500
As  0.500  0.000  0.500
As  0.500  0.500  0.000
Rh  0.122  0.122  0.602
Rh  0.122  0.602  0.122
Rh  0.181  0.684  0.684
Rh  0.316  0.316  0.819
Rh  0.316  0.819  0.316
Rh  0.398  0.878  0.878
Rh  0.602  0.122  0.122
Rh  0.684  0.181  0.684
Rh  0.684  0.684  0.181
Rh  0.819  0.316  0.316
Rh  0.878  0.398  0.878
Rh  0.878  0.878  0.398

Record 9
A plane-wave DFT calculation with PBE was carried out for a geometry-optimized Pr2TmAs4Rh3 structure.

formation enthalpy at 0 K = -983 meV per atom
VASP energy = -6.45 eV per atom
volume = 20.4 A^3/atom

Lattice parameters (Å, degrees): 4.339 4.339 10.833 90.00 90.00 90.00
Fractional coordinates of all 10 atoms:
Pr  0.000  0.500  0.224
Pr  0.500  0.000  0.776
Tm  0.000  0.000  0.500
As  0.000  0.000  0.000
As  0.000  0.500  0.659
As  0.500  0.000  0.341
As  0.500  0.500  0.000
Rh  0.000  0.500  0.890
Rh  0.500  0.000  0.110
Rh  0.500  0.500  0.500

Record 10
A plane-wave DFT calculation with PBE was carried out for a geometry-optimized Pr2UAs3Rh4 structure.

formation enthalpy at 0 K = -851 meV per atom
VASP energy = -7.27 eV per atom
volume = 19.8 A^3/atom

Lattice parameters (Å, degrees): 4.204 4.204 11.199 90.00 90.00 90.00
Fractional coordinates of all 10 atoms:
Pr  0.000  0.500  0.223
Pr  0.500  0.000  0.777
U  0.000  0.000  0.500
As  0.000  0.500  0.870
As  0.500  0.000  0.130
As  0.500  0.500  0.500
Rh  0.000  0.000  0.000
Rh  0.000  0.500  0.649
Rh  0.500  0.000  0.351
Rh  0.500  0.500  0.000

Record 11
A plane-wave DFT calculation with PBE was carried out for a geometry-optimized PrYAs2Rh5 structure.

formation enthalpy at 0 K = -726 meV per atom
VASP energy = -7.09 eV per atom
volume = 18.1 A^3/atom

Lattice parameters (Å, degrees): 4.283 4.283 8.872 90.00 90.00 90.00
Fractional coordinates of all 9 atoms:
Pr  0.000  0.000  0.000
Y  0.000  0.000  0.500
As  0.500  0.500  0.354
As  0.500  0.500  0.646
Rh  0.000  0.500  0.239
Rh  0.000  0.500  0.761
Rh  0.500  0.000  0.239
Rh  0.500  0.000  0.761
Rh  0.500  0.500  0.000

Record 12
A plane-wave DFT calculation with PBE was carried out for a geometry-optimized PrZnAs2Rh5 structure.

formation enthalpy at 0 K = -405 meV per atom
VASP energy = -6.20 eV per atom
volume = 19.1 A^3/atom

Lattice parameters (Å, degrees): 4.128 4.128 10.095 90.00 90.00 90.00
Fractional coordinates of all 9 atoms:
Pr  0.000  0.000  0.000
Zn  0.000  0.000  0.500
As  0.500  0.500  0.235
As  0.500  0.500  0.765
Rh  0.000  0.500  0.351
Rh  0.000  0.500  0.649
Rh  0.500  0.000  0.351
Rh  0.500  0.000  0.649
Rh  0.500  0.500  0.000

Record 13
A plane-wave DFT calculation with PBE was carried out for a geometry-optimized PrZrAs2Rh5 structure.

formation enthalpy at 0 K = -571 meV per atom
VASP energy = -7.17 eV per atom
volume = 20.3 A^3/atom

Lattice parameters (Å, degrees): 4.099 4.099 10.853 90.00 90.00 90.00
Fractional coordinates of all 9 atoms:
Pr  0.000  0.000  0.000
Zr  0.000  0.000  0.500
As  0.500  0.500  0.219
As  0.500  0.500  0.781
Rh  0.000  0.500  0.333
Rh  0.000  0.500  0.667
Rh  0.500  0.000  0.333
Rh  0.500  0.000  0.667
Rh  0.500  0.500  0.000

Record 14
A plane-wave DFT calculation with PBE was carried out for a geometry-optimized PrAs2Ru structure.

formation enthalpy at 0 K = -752 meV per atom
VASP energy = -6.59 eV per atom
offset from the most stable computed form = 0.092 eV/atom
volume = 20.3 A^3/atom

Lattice parameters (Å, degrees): 5.895 5.895 5.895 41.42 41.42 41.42
Fractional coordinates of all 4 atoms:
Pr  0.000  0.000  0.000
As  0.223  0.223  0.223
As  0.777  0.777  0.777
Ru  0.500  0.500  0.500

Record 15
A plane-wave DFT calculation with PBE was carried out for a geometry-optimized PrAs2Ru structure.

formation enthalpy at 0 K = -845 meV per atom
VASP energy = -6.68 eV per atom
offset from the most stable computed form = 0.000 eV/atom
volume = 21.3 A^3/atom

Lattice parameters (Å, degrees): 4.127 4.127 9.994 90.00 90.00 90.00
Fractional coordinates of all 8 atoms:
Pr  0.250  0.250  0.234
Pr  0.750  0.750  0.766
As  0.250  0.250  0.634
As  0.250  0.750  0.000
As  0.750  0.250  0.000
As  0.750  0.750  0.366
Ru  0.250  0.750  0.500
Ru  0.750  0.250  0.500

Record 16
A plane-wave DFT calculation with PBE was carried out for a geometry-optimized PrAs2Ru structure.

formation enthalpy at 0 K = -679 meV per atom
VASP energy = -6.52 eV per atom
offset from the most stable computed form = 0.166 eV/atom
volume = 22.2 A^3/atom

Lattice parameters (Å, degrees): 5.864 5.864 5.864 138.15 138.15 60.67
Fractional coordinates of all 4 atoms:
Pr  0.000  0.000  0.000
As  0.365  0.365  0.000
As  0.635  0.635  0.000
Ru  0.250  0.750  0.500

Record 17
A plane-wave DFT calculation with PBE was carried out for a geometry-optimized Pr2As7Ru12 structure.

formation enthalpy at 0 K = -416 meV per atom
VASP energy = -7.72 eV per atom
volume = 16.1 A^3/atom

Lattice parameters (Å, degrees): 9.815 9.815 4.055 90.00 90.00 120.00
Fractional coordinates of all 21 atoms:
Pr  0.000  0.000  0.000
Pr  0.333  0.667  0.500
As  0.083  0.447  0.000
As  0.268  0.222  0.500
As  0.364  0.917  0.000
As  0.553  0.636  0.000
As  0.667  0.333  0.000
As  0.778  0.046  0.500
As  0.954  0.732  0.500
Ru  0.053  0.283  0.500
Ru  0.091  0.698  0.000
Ru  0.230  0.947  0.500
Ru  0.302  0.393  0.000
Ru  0.393  0.176  0.000
Ru  0.551  0.427  0.500
Ru  0.573  0.124  0.500
Ru  0.607  0.909  0.000
Ru  0.717  0.770  0.500
Ru  0.782  0.607  0.000
Ru  0.824  0.218  0.000
Ru  0.876  0.449  0.500

Record 18
A plane-wave DFT calculation with PBE was carried out for a geometry-optimized PrAs3Ru5 structure.

formation enthalpy at 0 K = -312 meV per atom
VASP energy = -7.55 eV per atom
volume = 17.4 A^3/atom

Lattice parameters (Å, degrees): 6.670 6.670 12.254 90.00 90.00 145.00
Fractional coordinates of all 18 atoms:
Pr  0.169  0.831  0.750
Pr  0.831  0.169  0.250
As  0.125  0.875  0.250
As  0.383  0.617  0.048
As  0.383  0.617  0.452
As  0.617  0.383  0.548
As  0.617  0.383  0.952
As  0.875  0.125  0.750
Ru  0.000  0.000  0.000
Ru  0.000  0.000  0.500
Ru  0.200  0.800  0.071
Ru  0.200  0.800  0.429
Ru  0.445  0.555  0.647
Ru  0.445  0.555  0.853
Ru  0.555  0.445  0.147
Ru  0.555  0.445  0.353
Ru  0.800  0.200  0.571
Ru  0.800  0.200  0.929

Record 19
A plane-wave DFT calculation with PBE was carried out for a geometry-optimized PrAsS structure.

VASP energy = -6.05 eV per atom
volume = 23.2 A^3/atom
ΔE_f (raw) = -1529 meV per atom

Lattice parameters (Å, degrees): 9.333 9.333 9.333 155.54 155.54 34.86
Fractional coordinates of all 6 atoms:
Pr  0.146  0.146  0.000
Pr  0.854  0.854  0.000
As  0.000  0.500  0.500
As  0.500  0.000  0.500
S  0.313  0.313  0.000
S  0.687  0.687  0.000

Record 20
A plane-wave DFT calculation with PBE was carried out for a geometry-optimized Pr2AsS structure.

VASP energy = -6.37 eV per atom
offset from the most stable computed form = 0.003 eV/atom
volume = 26.5 A^3/atom
ΔE_f (raw) = -1787 meV per atom

Lattice parameters (Å, degrees): 7.272 7.272 7.272 33.77 33.77 33.77
Fractional coordinates of all 4 atoms:
Pr  0.249  0.249  0.249
Pr  0.751  0.751  0.751
As  0.000  0.000  0.000
S  0.500  0.500  0.500

Record 21
A plane-wave DFT calculation with PBE was carried out for a geometry-optimized Pr5AsS4 structure.

VASP energy = -6.43 eV per atom
volume = 25.3 A^3/atom
ΔE_f (raw) = -1927 meV per atom

Lattice parameters (Å, degrees): 10.979 10.979 10.979 158.17 149.05 38.19
Fractional coordinates of all 10 atoms:
Pr  0.000  0.000  0.000
Pr  0.200  0.200  0.000
Pr  0.398  0.398  0.000
Pr  0.602  0.602  0.000
Pr  0.800  0.800  0.000
As  0.500  0.000  0.500
S  0.101  0.601  0.500
S  0.298  0.798  0.500
S  0.702  0.202  0.500
S  0.899  0.399  0.500